[1]
3
Lattice="-4.3061 -1.1418 0.7972 1.3924 -3.4937 2.5173 -0.0324 4.3466 6.0505" Properties=species:S:1:pos:R:3 comment="KTbNd (PBE, relaxed)" total_energy_ev_per_cell=-8.2 space_group=P4/mmm m_tot_mub_per_atom=0.00 volume_a3_per_cell=153 pbc="T T T"
K -1.4731 -0.1445 4.6825
Nd -1.4569 -2.3178 1.6573
Tb 0.0000 0.0000 0.0000

=====

[2]
12
Lattice="7.2454 0.0000 0.0000 0.0000 4.2083 0.0000 0.0000 0.0000 8.5505" Properties=species:S:1:pos:R:3 comment="CuAsPb (PBE, relaxed)" total_energy_ev_per_cell=-48.5 space_group=Pnma volume_a3_per_cell=261 pbc="T T T"
As 3.0243 0.0000 2.1353
As 6.6470 2.1041 2.1400
As 0.5984 0.0000 6.4106
As 4.2211 2.1041 6.4152
Cu 4.2275 2.1041 2.1224
Cu 0.6048 0.0000 2.1529
Cu 6.6406 2.1041 6.3976
Cu 3.0179 0.0000 6.4282
Pb 5.4305 0.0000 0.0000
Pb 1.8149 2.1041 0.0000
Pb 5.4376 0.0000 4.2749
Pb 1.8078 2.1041 4.2756

=====

[3]
4
Lattice="-4.4043 -0.8748 -0.8361 -3.2180 1.5640 2.8391 -2.7835 3.3662 -1.3353" Properties=species:S:1:pos:R:3 comment="LuRe2Pt (PBE, relaxed)" space_group=F-43m m_tot_mub_per_atom=0.15 delta_e_f_mev_per_atom=17.9 volume_a3_per_cell=67 pbc="T T T"
Lu -5.2029 2.0277 0.3339
Pt -7.8044 3.0415 0.5008
Re 0.0000 0.0000 0.0000
Re -2.6014 1.0138 0.1669

=====

[4]
8
Lattice="-0.0603 -6.9508 1.6156 -0.4604 2.0847 -6.8095 5.5223 -0.1450 -0.4177" Properties=species:S:1:pos:R:3 comment="HoEr7 (PBE, relaxed)" space_group=P-6m2 m_tot_mub_per_atom=0.00 delta_e_f_mev_per_atom=0.3 volume_a3_per_cell=244 pbc="T T T"
Er -0.0309 -3.4776 0.7984
Er -0.2600 -2.4401 -2.5904
Er -0.2900 -5.8992 -1.7864
Er 2.6639 -2.0511 -0.8080
Er 2.6338 -5.5104 -0.0040
Er 2.4047 -4.4729 -3.3930
Er 2.4341 -0.9997 -4.2100
Ho 0.0000 0.0000 0.0000

=====

What did the third record say?
4
Lattice="-4.4043 -0.8748 -0.8361 -3.2180 1.5640 2.8391 -2.7835 3.3662 -1.3353" Properties=species:S:1:pos:R:3 comment="LuRe2Pt (PBE, relaxed)" space_group=F-43m m_tot_mub_per_atom=0.15 delta_e_f_mev_per_atom=17.9 volume_a3_per_cell=67 pbc="T T T"
Lu -5.2029 2.0277 0.3339
Pt -7.8044 3.0415 0.5008
Re 0.0000 0.0000 0.0000
Re -2.6014 1.0138 0.1669